The following is a PBE calculation of crystalline Ba2Os2Pd at its relaxed geometry, from Alexandria via LeMat-Bulk.

abc: 10.2588 10.2588 10.2588
angles: 159.67 159.67 28.90
With the nearest neighbours (Å) after each atom.
Atoms (fractional coordinates):
1 Ba 0.1037 0.1037 0.0000  4 Pd 3.29, 4 Os 3.42, 4 Ba 3.62
2 Ba 0.8963 0.8963 0.0000  4 Pd 3.29, 4 Os 3.42, 4 Ba 3.62
3 Os 0.2500 0.7500 0.5000  4 Os 2.56
4 Os 0.7500 0.2500 0.5000  4 Os 2.56
5 Pd 0.5000 0.5000 0.0000  8 Ba 3.29, 4 Pd 3.62

volume: 130.22 Å³/cell
total magnetization: 0.00 μB/atom
energy above the lowest structure with this stoichiometry: 0.000 eV per atom
space-group type: I4/mmm, No. 139
VASP energy: -5.97 eV per atom